[1]
Zn2CuSb: relaxed, PBE-GGA.

```
4
Lattice="-2.512 -2.298 2.826 -0.876 -1.325 -4.129 2.787 -2.706 0.277" Properties=species:S:1:pos:R:3 pbc="T T T"
Cu 0.137 -2.502 1.551
Sb 0.956 -2.015 -1.926
Zn 0.000 0.000 0.000
Zn -1.694 -1.811 -0.652
```

Properties
- formation energy from raw total energies (kJ/mol of atoms) = 14.45
- symmetry = Cmmm, No. 65
- uncorrected energy (eV for the cell shown) = -10.17



[2]
LaSmEu2: relaxed, PBE-GGA.

```
4
Lattice="3.750 0.000 0.000 0.000 3.750 0.000 0.000 0.000 10.724" Properties=species:S:1:pos:R:3 pbc="T T T"
Eu 0.000 0.000 8.098
Eu 0.000 0.000 2.626
Sm 1.875 1.875 0.000
La 1.875 1.875 5.362
```

Properties
- relative energy among the computed polymorphs (eV/atom) = 0.023
- energy of formation from the pure elements (eV/atom) = 0.097
- symmetry = P4/mmm, No. 123
- uncorrected energy (eV for the cell shown) = -29.81



[3]
MgFeTe: relaxed, PBE-GGA.

```
3
Lattice="4.345 0.000 0.000 2.172 3.763 0.000 2.172 1.254 3.548" Properties=species:S:1:pos:R:3 pbc="T T T"
Fe 6.517 3.763 2.661
Mg 0.000 0.000 0.000
Te 4.345 2.509 1.774
```

Properties
- relative energy among the computed polymorphs (eV/atom) = 0.075
- formation energy from raw total energies (kJ/mol of atoms) = 1.01
- symmetry = F-43m, No. 216
- uncorrected energy (eV for the cell shown) = -13.17



[4]
La6CoS2I3: relaxed, PBE-GGA.

```
12
Lattice="-3.370 -5.913 2.752 7.325 0.425 0.234 -1.785 5.362 5.913" Properties=species:S:1:pos:R:3 pbc="T T T"
La -0.060 -0.924 7.499
La 2.546 -2.955 3.378
La 2.229 0.798 1.399
La 3.314 1.075 6.705
La -0.377 2.829 5.521
La -1.145 -1.201 2.194
Co 0.000 0.000 0.000
S 3.772 -1.680 1.071
S 0.183 -3.807 1.916
I 4.577 2.006 3.627
I -2.407 -2.132 5.271
I 1.085 -0.063 4.449
```

Properties
- formation energy from raw total energies (kJ/mol of atoms) = -123.64
- symmetry = C2/m, No. 12
- uncorrected energy (eV for the cell shown) = -64.95



[5]
Nd2Dy2Y3: relaxed, PBE-GGA.

```
14
Lattice="-6.590 -5.126 1.547 1.025 0.839 -8.387 7.035 -3.333 3.392" Properties=species:S:1:pos:R:3 pbc="T T T"
Nd 5.712 -2.706 2.754
Nd 1.054 -3.548 -4.340
Nd 4.306 -2.680 -3.147
Nd -1.543 -1.179 -3.711
Dy 2.927 -1.386 1.411
Dy 0.649 -3.880 -1.020
Dy -3.172 -3.203 0.484
Dy -5.525 -4.276 -2.776
Y 2.836 -6.074 -2.015
Y -1.144 -5.774 1.036
Y 1.703 -0.863 -1.632
Y 2.549 -4.613 1.603
Y 0.685 -1.136 -6.873
Y -2.221 -4.397 -2.465
```

Properties
- relative energy among the computed polymorphs (eV/atom) = 0.092
- energy of formation from the pure elements (eV/atom) = 0.224
- symmetry = I2_13, No. 199
- uncorrected energy (eV for the cell shown) = -73.13



[6]
Ho2Fe4Si9: relaxed, PBE-GGA.

```
15
Lattice="-2.364 -1.293 -2.878 -0.109 -1.702 3.555 -11.280 10.360 4.613" Properties=species:S:1:pos:R:3 pbc="T T T"
Ho -3.589 0.940 2.526
Ho -10.165 6.426 2.764
Fe -7.507 4.538 4.128
Fe -6.247 2.827 1.161
Fe -2.758 -0.377 -0.266
Fe -10.996 7.743 5.555
Si -5.751 2.926 3.410
Si -8.003 4.440 1.879
Si -12.407 8.485 3.681
Si -1.347 -1.119 1.609
Si -7.336 6.738 3.000
Si -3.944 3.623 1.613
Si -1.430 1.314 0.585
Si -9.849 9.047 4.028
Si -5.640 5.180 2.307
```

Properties
- formation energy from raw total energies (kJ/mol of atoms) = -32.81
- symmetry = P-3m1, No. 164
- uncorrected energy (eV for the cell shown) = -96.91



[7]
Ba2Os3O10: relaxed, PBE-GGA.

```
30
Lattice="5.612 0.000 -1.827 -0.957 7.353 -2.941 0.086 -0.002 9.798" Properties=species:S:1:pos:R:3 pbc="T T T"
Ba 3.731 2.249 1.928
Ba 1.010 5.102 3.103
Ba 2.751 5.336 -1.081
Ba 1.989 2.015 6.111
Os 4.725 3.832 4.983
Os 0.016 3.518 0.048
Os 3.704 7.256 1.845
Os 1.037 0.095 3.185
Os 4.309 0.000 -1.403
Os 1.303 0.000 -0.424
O 2.832 7.245 3.573
O -0.186 7.245 4.555
O 1.909 0.106 1.457
O 4.927 0.106 0.475
O 3.019 3.914 4.326
O 0.105 3.914 5.275
O 1.721 3.437 0.704
O 4.635 3.437 -0.244
O 4.769 5.836 5.117
O -0.028 1.514 -0.087
O 4.676 1.903 4.832
O 0.065 5.448 0.198
O 3.659 5.417 1.708
O 1.081 1.934 3.323
O 1.965 6.169 6.038
O 2.775 1.182 -1.007
O 3.973 3.677 -2.920
O 0.682 3.677 -1.848
O 2.849 -0.001 3.986
O 0.043 -0.001 4.899
```

Properties
- formation energy from raw total energies (kJ/mol of atoms) = -150.83
- symmetry = C2/m, No. 12
- uncorrected energy (eV for the cell shown) = -221.13



[8]
La2CdN: relaxed, PBE-GGA.

```
8
Lattice="-0.786 3.447 -0.774 -5.062 -1.320 -0.735 -1.499 0.055 10.230" Properties=species:S:1:pos:R:3 pbc="T T T"
La -2.065 0.421 3.974
La -5.283 1.761 4.747
La -2.731 1.048 7.442
La -4.616 1.134 1.279
Cd -1.419 -0.186 0.614
Cd -5.929 2.368 8.107
N -2.801 2.467 5.371
N -4.547 -0.285 3.350
```

Properties
- relative energy among the computed polymorphs (eV/atom) = 0.000
- formation energy from raw total energies (kJ/mol of atoms) = -81.52
- symmetry = Cmcm, No. 63
- uncorrected energy (eV for the cell shown) = -44.95